Entry 1:
Below is Si3SeO after structural relaxation, with properties calculated at the PBE level.

Results
The energy relative to the elements, uncorrected comes out at 1.5550 eV per atom. The value obtained for the distance to the lowest polymorph of the same formula is 1164 meV/atom. The calculation puts the density of states at the Fermi level at 7.597 states/eV per cell.

abc: 4.9234 4.9234 4.9234
angles: 90.00 90.00 90.00
Element x y z (fractional)
1 Si 0.0000 0.0000 0.5000
2 Si 0.0000 0.5000 0.0000
3 Si 0.5000 0.0000 0.0000
4 Se 0.0000 0.0000 0.0000
5 O 0.5000 0.5000 0.5000

=====

Entry 2:
Below is ZrOsPt2 after structural relaxation, with properties calculated at the PBE level.

Results
The calculation puts the density of states at the Fermi level at 2.468 states/eV per cell. The calculation puts the energy relative to the elements at -108.9 meV per atom.

abc: 9.5883 9.5883 9.5883
angles: 16.97 16.97 16.97
Element x y z (fractional)
1 Zr 0.0000 0.0000 0.0000
2 Os 0.5000 0.5000 0.5000
3 Pt 0.2458 0.2458 0.2458
4 Pt 0.7542 0.7542 0.7542

=====

Entry 3:
Below is LaTa2Zn after structural relaxation, with properties calculated at the PBE level.

Results
The calculation puts the density of states at the Fermi level at 3.855 states/eV per cell. The calculation puts the energy relative to the elements at 450.5 meV per atom.

abc: 3.1915 5.0844 5.3044
angles: 90.00 96.02 90.00
Element x y z (fractional)
1 La 0.0000 0.0000 0.0000
2 Ta 0.3530 0.5000 0.7315
3 Ta 0.6470 0.5000 0.2685
4 Zn 0.5000 0.0000 0.5000

=====

Entry 4:
Below is MnBe2Te after structural relaxation, with properties calculated at the PBE level.

Results
The energy relative to the elements, uncorrected comes out at 0.3656 eV per atom. The calculation puts the density of states at the Fermi level at 2.276 states/eV per cell.

abc: 3.2866 3.2866 5.0171
angles: 90.00 90.00 90.00
Element x y z (fractional)
1 Mn 0.0000 0.0000 0.0000
2 Be 0.5000 0.5000 0.2074
3 Be 0.5000 0.5000 0.7926
4 Te 0.0000 0.0000 0.5000

=====

Per-record total moment, μB/atom: 0.00 0.00 0.00 0.51